First-principles (meta-GGA SCAN) data for a crystal of CoPAu2 relaxed with PBEsol, as listed in the Alexandria database.

## Properties
crystal system: tetragonal
symmetry: I4/mmm, No. 139
energy relative to the elements: 0.40 eV per atom
D(E_F): 1.943 states/eV/cell

a b c (Å): 3.850 3.850 4.817
angles (deg): 113.56 113.56 90.00
Each line ends with the local moment (μB).
Fractional coordinates of all 4 atoms:
P 0.000 0.000 0.000  0.04
Au 0.250 0.750 0.500  0.02
Au 0.750 0.250 0.500  0.02
Co 0.500 0.500 0.000  2.08